Version one
VASP calculation (PBE) on an optimized crystal structure of YAuIO2.

The space group is P4/mmm (No. 123) and the conventional cell measures 4.241, 4.241 and 6.898 Å, with angles of 90.00, 90.00 and 90.00 degrees. Symmetry generates all atoms from Y at (0.000, 0.000, 0.000), Au at (0.500, 0.500, 0.500), I at (0.000, 0.000, 0.500) and O at (0.000, 0.500, 0.000).

The magnetic moment is 0.0001 μB per atom.


Version two
VASP calculation (PBE) on an optimized crystal structure of YAuIO2.

The space group is P4/mmm (No. 123) and the conventional cell measures 4.378, 4.378 and 5.214 Å, with angles of 90.00, 90.00 and 90.00 degrees. Symmetry generates all atoms from Y at (0.000, 0.000, 0.000), Au at (0.500, 0.500, 0.500), I at (0.500, 0.500, 0.000) and O at (0.000, 0.500, 0.500).

The magnetic moment is 0.0000 μB per atom.


It comes down to version one, which is 0.857 eV/atom more stable than the next structure.


Version one
VASP calculation (PBE) on an optimized crystal structure of ZrAuI2O.

The space group is P4/mmm (No. 123) and the conventional cell measures 5.827, 5.827 and 3.913 Å, with angles of 90.00, 90.00 and 90.00 degrees. Symmetry generates all atoms from Zr at (0.000, 0.000, 0.000), Au at (0.500, 0.500, 0.500), I at (0.000, 0.500, 0.500) and O at (0.500, 0.500, 0.000).

The magnetic moment is 0.3075 μB per atom.


Version two
VASP calculation (PBE) on an optimized crystal structure of ZrAuI2O.

The space group is P4/mmm (No. 123) and the conventional cell measures 5.846, 5.846 and 4.011 Å, with angles of 90.00, 90.00 and 90.00 degrees. Symmetry generates all atoms from Zr at (0.000, 0.000, 0.000), Au at (0.500, 0.500, 0.500), I at (0.000, 0.500, 0.000) and O at (0.000, 0.000, 0.500).

The magnetic moment is 0.0032 μB per atom.


It comes down to version two, which is 1.151 eV/atom more stable than the next structure.


Version one
VASP calculation (PBE) on an optimized crystal structure of Os2AuI.

The space group is I-42d (No. 122) and the conventional cell measures 4.106, 4.106 and 20.012 Å, with angles of 90.00, 90.00 and 90.00 degrees. Symmetry generates all atoms from Os at (0.150, 0.250, 0.125), Au at (0.000, 0.000, 0.000) and I at (0.000, 0.000, 0.500).

The magnetic moment is 0.0000 μB per atom.


Version two
VASP calculation (PBE) on an optimized crystal structure of Os2AuI.

The space group is Fm-3m (No. 225) and the conventional cell measures 6.507, 6.507 and 6.507 Å, with angles of 90.00, 90.00 and 90.00 degrees. Symmetry generates all atoms from Os at (0.250, 0.250, 0.250), Au at (0.000, 0.000, 0.000) and I at (0.000, 0.000, 0.500).

The magnetic moment is 0.0000 μB per atom.


It comes down to version one, which is 0.091 eV/atom more stable than the next structure.


Version one
VASP calculation (PBE) on an optimized crystal structure of OsAu2I.

The space group is Fm-3m (No. 225) and the conventional cell measures 6.803, 6.803 and 6.803 Å, with angles of 90.00, 90.00 and 90.00 degrees. Symmetry generates all atoms from Os at (0.000, 0.000, 0.000), Au at (0.250, 0.250, 0.250) and I at (0.000, 0.000, 0.500).

The magnetic moment is 0.0000 μB per atom.


Version two
VASP calculation (PBE) on an optimized crystal structure of OsAu2I.

The space group is I-42d (No. 122) and the conventional cell measures 8.027, 8.027 and 5.396 Å, with angles of 90.00, 90.00 and 90.00 degrees. Symmetry generates all atoms from Os at (0.000, 0.000, 0.000), Au at (0.207, 0.750, 0.125) and I at (0.000, 0.000, 0.500).

The magnetic moment is 0.0000 μB per atom.


It comes down to version two, which is 0.284 eV/atom more stable than the next structure.


Version one
VASP calculation (PBE) on an optimized crystal structure of Ti2OsAuI.

The space group is P4/mmm (No. 123) and the conventional cell measures 4.906, 4.906 and 4.794 Å, with angles of 90.00, 90.00 and 90.00 degrees. Symmetry generates all atoms from Ti at (0.000, 0.500, 0.000), Os at (0.000, 0.000, 0.500), Au at (0.500, 0.500, 0.500) and I at (0.000, 0.000, 0.000).

The magnetic moment is 0.2001 μB per atom.


Version two
VASP calculation (PBE) on an optimized crystal structure of Ti2OsAuI.

The space group is P4/mmm (No. 123) and the conventional cell measures 4.762, 4.762 and 5.367 Å, with angles of 90.00, 90.00 and 90.00 degrees. Symmetry generates all atoms from Ti at (0.000, 0.500, 0.000), Os at (0.000, 0.000, 0.000), Au at (0.500, 0.500, 0.500) and I at (0.000, 0.000, 0.500).

The magnetic moment is 0.0000 μB per atom.


It comes down to version two, which is 0.664 eV/atom more stable than the next structure.


Version one
VASP calculation (PBE) on an optimized crystal structure of P2AuI.

The space group is I-42d (No. 122) and the conventional cell measures 6.805, 6.805 and 8.634 Å, with angles of 90.00, 90.00 and 90.00 degrees. Symmetry generates all atoms from P at (0.189, 0.250, 0.125), Au at (0.000, 0.000, 0.000) and I at (0.000, 0.000, 0.500).

The magnetic moment is 0.0000 μB per atom.


Version two
VASP calculation (PBE) on an optimized crystal structure of P2AuI.

The space group is Fm-3m (No. 225) and the conventional cell measures 6.813, 6.813 and 6.813 Å, with angles of 90.00, 90.00 and 90.00 degrees. Symmetry generates all atoms from P at (0.250, 0.250, 0.250), Au at (0.000, 0.000, 0.000) and I at (0.000, 0.000, 0.500).

The magnetic moment is 0.0000 μB per atom.


It comes down to version one, which is 0.433 eV/atom more stable than the next structure.


Version one
VASP calculation (PBE) on an optimized crystal structure of P10Au7I.

The space group is P-62m (No. 189) and the conventional cell measures 6.2565, 6.2565 and 11.3954 Å, with angles of 90.00, 90.00 and 120.00 degrees. Symmetry generates all atoms from P at (0.0000, 0.3764, 0.2031), P at (0.3333, 0.6667, 0.2939), Au at (0.0000, 0.0000, 0.2313), Au at (0.0000, 0.4531, 0.0000), Au at (0.3333, 0.6667, 0.5000) and I at (0.0000, 0.0000, 0.5000).

The magnetic moment is 0.0000 μB per atom.


Version two
VASP calculation (PBE) on an optimized crystal structure of P10Au7I.

The space group is P-31m (No. 162) and the conventional cell measures 6.2709, 6.2709 and 11.2543 Å, with angles of 90.00, 90.00 and 120.00 degrees. Symmetry generates all atoms from P at (0.0000, 0.3762, 0.1992), P at (0.3333, 0.6667, 0.2920), Au at (0.0000, 0.0000, 0.2254), Au at (0.0000, 0.5000, 0.0000), Au at (0.3333, 0.6667, 0.5000) and I at (0.0000, 0.0000, 0.5000).

The magnetic moment is 0.0000 μB per atom.


It comes down to version two, which is 0.014 eV/atom more stable than the next structure.


Version one
VASP calculation (PBE) on an optimized crystal structure of PAuI2.

The space group is Fm-3m (No. 225) and the conventional cell measures 7.344, 7.344 and 7.344 Å, with angles of 90.00, 90.00 and 90.00 degrees. Symmetry generates all atoms from P at (0.000, 0.000, 0.000), Au at (0.000, 0.000, 0.500) and I at (0.250, 0.250, 0.250).

The magnetic moment is 0.0000 μB per atom.


Version two
VASP calculation (PBE) on an optimized crystal structure of PAuI2.

The space group is I-42d (No. 122) and the conventional cell measures 5.672, 5.672 and 16.271 Å, with angles of 90.00, 90.00 and 90.00 degrees. Symmetry generates all atoms from P at (0.000, 0.000, 0.000), Au at (0.000, 0.000, 0.500) and I at (0.231, 0.250, 0.125).

The magnetic moment is 0.0000 μB per atom.


It comes down to version two, which is 0.249 eV/atom more stable than the next structure.